# SrLa2Ru, relaxed, DFT PBEsol
data_SrLa2Ru
_space_group_name_H-M_alt 'P 4/m m m'
_space_group_IT_number 123
_space_group_name_Hall '-P 4 2'
_cell_length_a 3.548
_cell_length_b 3.548
_cell_length_c 10.240
_cell_angle_alpha 90.00
_cell_angle_beta 90.00
_cell_angle_gamma 90.00
loop_
_atom_site_label
_atom_site_fract_x
_atom_site_fract_y
_atom_site_fract_z
Sr1 0.000 0.000 0.000
La1 0.500 0.500 0.338
Ru1 0.000 0.000 0.500
# VASP energy: -5.690 eV per atom
# E above lowest polymorph: 85 meV per atom
# DOS(E_F): 4.1 states/eV per cell